Below is Rb2MnHF6 after structural relaxation, with properties calculated at the PBE with a Hubbard U level.

POSCAR file:
```
Rb2MnHF6
1.0
-2.702 2.702 4.878
2.702 -2.702 4.878
2.702 2.702 -4.878
Rb Mn H F
2 1 1 6
Direct
0.250 0.750 0.500
0.750 0.250 0.500
0.000 0.000 0.000
0.500 0.500 0.000
0.190 0.190 0.000
0.270 0.270 0.539
0.270 0.730 0.000
0.730 0.270 0.000
0.730 0.730 0.461
0.810 0.810 0.000
```

Computed properties:
Magnetic moment, Bohr magnetons per cell: 4.000
Final energy, eV per atom: -4.557
N(E_F), states/eV/f.u.: 0.00